[1]
Density functional theory data (PBE-GGA) for crystalline GaNi3Pt at its relaxed geometry.

The crystal system is cubic.

abc: 4.619 4.619 4.619
angles: 90.00 90.00 90.00
Site moments in Bohr magnetons follow the coordinates.
Element x y z (fractional)
Ni (0.500, 0.000, 0.000)  0.50
Ni (0.000, 0.000, 0.500)  1.24
Ni (0.000, 0.500, 0.000)  0.81
Pt (0.000, 0.000, 0.000)  0.50
Ga (0.500, 0.500, 0.500)  0.01

***

[2]
Density functional theory data (PBE-GGA) for crystalline GaNi3Pt at its relaxed geometry.

The crystal system is tetragonal.

abc: 4.456 4.456 8.977
angles: 104.37 104.37 90.00
Site moments in Bohr magnetons follow the coordinates.
Element x y z (fractional)
Ni (0.126, 0.379, 0.252)  0.12
Ni (0.656, 0.656, 0.312)  0.34
Ni (0.126, 0.873, 0.252)  0.12
Ni (0.127, 0.874, 0.748)  0.12
Ni (0.621, 0.874, 0.748)  0.12
Ni (0.344, 0.344, 0.688)  0.34
Ga (0.250, 0.750, 0.500)  -0.01
Ga (0.000, 0.000, 0.000)  -0.01
Pt (0.596, 0.096, 0.192)  0.11
Pt (0.904, 0.404, 0.808)  0.11

***

[3]
Density functional theory data (PBE-GGA) for crystalline Ga6Ni8Pt at its relaxed geometry.

The crystal system is trigonal.

abc: 6.929 6.929 6.286
angles: 56.56 56.56 60.00
Element x y z (fractional)
Ga (0.396, 0.107, 0.832)
Ga (0.893, 0.335, 0.168)
Ga (0.107, 0.665, 0.832)
Ga (0.665, 0.396, 0.832)
Ga (0.335, 0.604, 0.168)
Ga (0.604, 0.893, 0.168)
Ni (0.423, 0.823, 0.644)
Ni (0.734, 0.734, 0.797)
Ni (0.110, 0.423, 0.644)
Ni (0.823, 0.110, 0.644)
Ni (0.266, 0.266, 0.203)
Ni (0.577, 0.177, 0.356)
Ni (0.890, 0.577, 0.356)
Ni (0.177, 0.890, 0.356)
Pt (0.000, 0.000, 0.000)

***

[4]
Density functional theory data (PBE-GGA) for crystalline Ga4Ni15Pt at its relaxed geometry.

The crystal system is tetragonal.

abc: 3.604 3.604 17.901
angles: 90.00 90.00 90.00
Site moments in Bohr magnetons follow the coordinates.
Element x y z (fractional)
Ni (0.000, 0.500, 0.500)  0.27
Ni (0.000, 0.500, 0.103)  0.37
Ni (0.500, 0.000, 0.500)  0.27
Ni (0.500, 0.000, 0.699)  0.23
Ni (0.500, 0.500, 0.202)  0.22
Ni (0.000, 0.500, 0.301)  0.23
Ni (0.500, 0.000, 0.897)  0.37
Ni (0.500, 0.000, 0.103)  0.37
Ni (0.000, 0.500, 0.897)  0.37
Ni (0.500, 0.500, 0.600)  0.27
Ni (0.500, 0.500, 0.400)  0.27
Ni (0.500, 0.000, 0.301)  0.23
Ni (0.500, 0.500, 0.798)  0.22
Ni (0.000, 0.500, 0.699)  0.23
Ni (0.500, 0.500, 0.000)  0.39
Pt (0.000, 0.000, 0.000)  0.19
Ga (0.000, 0.000, 0.203)  -0.02
Ga (0.000, 0.000, 0.797)  -0.02
Ga (0.000, 0.000, 0.401)  -0.02
Ga (0.000, 0.000, 0.599)  -0.02

***

[5]
Density functional theory data (PBE-GGA) for crystalline Ga2NiPt8 at its relaxed geometry.

The crystal system is monoclinic.

abc: 3.999 6.214 7.325
angles: 106.80 105.84 90.00
Site moments in Bohr magnetons follow the coordinates.
Element x y z (fractional)
Pt (0.595, 0.458, 0.191)  0.02
Pt (0.405, 0.542, 0.809)  0.02
Pt (0.852, 0.786, 0.704)  0.01
Pt (0.325, 0.073, 0.649)  0.04
Pt (0.148, 0.214, 0.296)  0.01
Pt (0.957, 0.264, 0.913)  0.05
Pt (0.675, 0.927, 0.351)  0.04
Pt (0.043, 0.736, 0.087)  0.05
Ga (0.781, 0.344, 0.562)  0.00
Ga (0.219, 0.656, 0.438)  0.00
Ni (0.500, 0.000, 0.000)  0.46

***

[6]
Density functional theory data (PBE-GGA) for crystalline GaNiPt at its relaxed geometry.

The crystal system is trigonal.

abc: 2.796 4.128 4.128
angles: 120.00 90.00 90.00
Element x y z (fractional)
Ga (0.563, 0.667, 0.333)
Ni (0.451, 0.333, 0.667)
Pt (0.987, 0.000, 0.000)

***

Number 1: ΔH_f (0 K) 481 kJ/mol of formula units, E -4.28 eV per atom. Number 2: ΔH_f (0 K) 112 kJ/mol of formula units, E -5.05 eV per atom. Number 3: ΔH_f (0 K) -301 kJ/mol of formula units, E -4.90 eV per atom. Number 4: ΔH_f (0 K) -462 kJ/mol of formula units, E -5.48 eV per atom. Number 5: ΔH_f (0 K) -301 kJ/mol of formula units, E -5.75 eV per atom. Number 6: ΔH_f (0 K) -109 kJ/mol of formula units, E -5.33 eV per atom.